SrAs2Os (PBE-GGA, optimized geometry); space-group type = P4/mmm; polymorph energy (0 for the lowest one) = 797 meV per atom; formation energy = 0.385 eV/atom
1.0
-0.057 2.020 -4.357
-0.238 -4.351 -2.014
-3.439 0.138 0.109
As Os Sr
2 1 1
direct
0.500 0.500 0.000 As
0.000 0.000 0.000 As
0.500 0.000 0.500 Os
0.000 0.500 0.500 Sr